Material: TaBiBr2
Method: DFT, PBE
State: optimized geometry

As for the density of states at the Fermi level: 6.72 states/eV per cell.

The space group is R-3m (No. 166, hexagonal axes) and the conventional cell measures 3.3117, 3.3117 and 36.9188 Å, with angles of 90.00, 90.00 and 120.00 degrees. The inequivalent atoms are Ta at (0.0000, 0.0000, 0.0000), Bi at (0.0000, 0.0000, 0.5000) and Br at (0.0000, 0.0000, 0.3847).

Material: Ta2BiBr
Method: DFT, PBE
State: optimized geometry

As for the density of states at the Fermi level: 18.66 states/eV per cell.

The space group is Fm-3m (No. 225) and the conventional cell measures 6.8734, 6.8734 and 6.8734 Å, with angles of 90.00, 90.00 and 90.00 degrees. The inequivalent atoms are Ta at (0.2500, 0.2500, 0.2500), Bi at (0.0000, 0.0000, 0.0000) and Br at (0.0000, 0.0000, 0.5000).

Material: Ta2BiBr
Method: DFT, PBE
State: optimized geometry

As for the density of states at the Fermi level: 18.90 states/eV per cell.

The space group is I-42d (No. 122) and the conventional cell measures 4.6809, 4.6809 and 17.7854 Å, with angles of 90.00, 90.00 and 90.00 degrees. The inequivalent atoms are Ta at (0.1820, 0.2500, 0.1250), Bi at (0.0000, 0.0000, 0.5000) and Br at (0.0000, 0.0000, 0.0000).

Material: TaBiBr3
Method: DFT, PBE
State: optimized geometry

As for the density of states at the Fermi level: 13.77 states/eV per cell.

The space group is Pm-3m (No. 221) and the conventional cell measures 5.7914, 5.7914 and 5.7914 Å, with angles of 90.00, 90.00 and 90.00 degrees. The inequivalent atoms are Ta at (0.0000, 0.0000, 0.0000), Bi at (0.5000, 0.5000, 0.5000) and Br at (0.0000, 0.5000, 0.5000).

Material: Ta3BiBr
Method: DFT, PBE
State: optimized geometry

As for the density of states at the Fermi level: 6.85 states/eV per cell.

The space group is Pm-3m (No. 221) and the conventional cell measures 4.8039, 4.8039 and 4.8039 Å, with angles of 90.00, 90.00 and 90.00 degrees. The inequivalent atoms are Ta at (0.0000, 0.0000, 0.5000), Bi at (0.5000, 0.5000, 0.5000) and Br at (0.0000, 0.0000, 0.0000).

Material: Ta3BiBr
Method: DFT, PBE
State: optimized geometry

As for the density of states at the Fermi level: 5.48 states/eV per cell.

The space group is Pm-3m (No. 221) and the conventional cell measures 5.2362, 5.2362 and 5.2362 Å, with angles of 90.00, 90.00 and 90.00 degrees. The inequivalent atoms are Ta at (0.0000, 0.0000, 0.5000), Bi at (0.0000, 0.0000, 0.0000) and Br at (0.5000, 0.5000, 0.5000).

Number 1: energy -4.924 eV per atom, magnetization 0.00 μB/cell. Number 2: energy -6.526 eV per atom, magnetization 5.43 μB/cell. Number 3: energy -6.364 eV per atom, magnetization 0.00 μB/cell. Number 4: energy -3.184 eV per atom, magnetization 4.37 μB/cell. Number 5: energy -6.798 eV per atom, magnetization 0.00 μB/cell. Number 6: energy -5.737 eV per atom, magnetization 0.00 μB/cell.